No. 1
A relaxed structure of Ga2Ni15Pt2, computed with PBE.

- Density of states at the Fermi level: 80.075 states/eV per cell
- Energy: -5.461 eV per atom
- DFT formation energy: 5.6 kJ/mol of atoms

Cell lengths 8.2233, 8.2233, 12.1028 Å; angles 90.00, 90.00, 120.00 degrees
With the nearest neighbours (Å) after each atom.
Space group R-3m (No. 166, hexagonal axes)
Unique sites:
Ga (0.0000, 0.0000, 0.1542) x6  1 Pt 2.84, 12 Ni 2.85-3.05
Ni (0.0000, 0.3090, 0.5000) x18  8 Ni 2.39-2.54
Ni (0.0000, 0.5000, 0.0000) x9  8 Ni 2.39-2.42, 2 Pt 2.47
Ni (0.0126, 0.5063, 0.6541) x18  8 Ni 2.30-2.53
Pt (0.0000, 0.0000, 0.3888) x6  6 Ni 2.47-2.60, 1 Pt 2.69



No. 2
A relaxed structure of TlSnHgSe3, computed with PBE.

- E_form (uncorrected): -1.57 eV/f.u.
- Density of states at the Fermi level: 5.801 states/eV per cell
- Energy: -3.115 eV per atom

Cell lengths 8.7873, 4.1944, 9.8882 Å; angles 90.00, 103.00, 90.00 degrees
With the nearest neighbours (Å) after each atom.
Space group P2_1/m (No. 11)
Unique sites:
Tl (0.2075, 0.2500, 0.2449) x2  7 Se 3.25-3.48
Sn (0.3315, 0.7500, 0.8781) x2  5 Se 2.75-2.91
Hg (0.0890, 0.2500, 0.6148) x2  4 Se 2.68-2.91
Se (0.1066, 0.2500, 0.8888) x2  1 Hg 2.68, 2 Sn 2.90
Se (0.2382, 0.7500, 0.5290) x2  3 Hg 2.71-2.91
Se (0.4527, 0.7500, 0.1595) x2  3 Sn 2.75-2.91



No. 3
A relaxed structure of Tb6S8Br, computed with PBE.

- E_form (uncorrected): -28.49 eV/f.u.
- Density of states at the Fermi level: 3.660 states/eV per cell
- Energy: -6.064 eV per atom

Cell lengths 10.8238, 10.8238, 4.0478 Å; angles 90.00, 90.00, 120.00 degrees
With the nearest neighbours (Å) after each atom.
Space group P-3 (No. 147)
Unique sites:
Tb (0.1383, 0.4634, 0.2462) x6  6 S 2.69-2.96
S (0.0478, 0.6606, 0.2540) x6  4 Tb 2.69-2.76
S (0.3333, 0.6667, 0.7487) x2  6 Tb 2.95-2.96
Br (0.0000, 0.0000, 0.0000) x1  2 Br 4.05, 6 S 4.09



No. 4
A relaxed structure of Co2AgOs, computed with PBE.

- Density of states at the Fermi level: 21.322 states/eV per cell
- Energy: -6.500 eV per atom
- DFT formation energy: 55.3 kJ/mol of atoms
- Energy above the most stable polymorph in this dataset: 283.5 meV/atom

Cell lengths 5.9898, 5.9898, 5.9898 Å; angles 90.00, 90.00, 90.00 degrees
With the nearest neighbours (Å) after each atom.
Space group Fm-3m (No. 225)
Unique sites:
Co (0.2500, 0.2500, 0.2500) x8  4 Os 2.59, 4 Ag 2.59
Ag (0.0000, 0.0000, 0.0000) x4  8 Co 2.59
Os (0.0000, 0.0000, 0.5000) x4  8 Co 2.59



No. 5
A relaxed structure of Li17CaMg, computed with PBE.

- Density of states at the Fermi level: 19.063 states/eV per cell
- Energy: -1.875 eV per atom
- DFT formation energy: 2.6 kJ/mol of atoms

Cell lengths 9.4526, 9.4526, 15.7350 Å; angles 90.00, 90.00, 120.00 degrees
With the nearest neighbours (Å) after each atom.
Space group R3m (No. 160, hexagonal axes)
Unique sites:
Li (0.0000, 0.0000, 0.0565) x3  4 Li 2.70-2.75
Li (0.0000, 0.0000, 0.2280) x3  4 Li 2.70-2.74
Li (0.0316, 0.3541, 0.8118) x18  5 Li 2.75-3.06
Li (0.1919, 0.3838, 0.9876) x9  7 Li 2.74-3.06
Li (0.1974, 0.3948, 0.6202) x9  7 Li 2.75-2.92, 1 Mg 3.02
Li (0.2115, 0.4230, 0.3333) x9  6 Li 2.92-3.06, 1 Mg 3.17
Ca (0.0000, 0.0000, 0.4839) x3  12 Li 3.36-3.50
Mg (0.0000, 0.0000, 0.8234) x3  12 Li 3.02-3.21



No. 6
A relaxed structure of LiSm2C, computed with PBE.

- Density of states at the Fermi level: 9.238 states/eV per cell
- Energy: -5.166 eV per atom
- DFT formation energy: -2.1 kJ/mol of atoms
- Energy above the most stable polymorph in this dataset: 56.5 meV/atom

Cell lengths 3.5873, 3.5873, 28.9921 Å; angles 90.00, 90.00, 120.00 degrees
With the nearest neighbours (Å) after each atom.
Space group R-3m (No. 166, hexagonal axes)
Unique sites:
Li (0.0000, 0.0000, 0.0000) x3  2 Sm 3.44, 6 Li 3.59
Sm (0.0000, 0.0000, 0.1185) x6  3 C 2.50
C (0.0000, 0.0000, 0.5000) x3  6 Sm 2.50



No. 7
A relaxed structure of Tc3BiAs, computed with PBE.

- Density of states at the Fermi level: 3.432 states/eV per cell
- Energy: -6.984 eV per atom
- DFT formation energy: 90.9 kJ/mol of atoms
- Energy above the most stable polymorph in this dataset: 0.0 meV/atom

Cell lengths 4.6399, 4.6399, 4.6399 Å; angles 90.00, 90.00, 90.00 degrees
With the nearest neighbours (Å) after each atom.
Space group Pm-3m (No. 221)
Unique sites:
Tc (0.0000, 0.0000, 0.5000) x3  2 As 2.32
Bi (0.5000, 0.5000, 0.5000) x1  12 Tc 3.28
As (0.0000, 0.0000, 0.0000) x1  6 Tc 2.32



No. 8
A relaxed structure of AlCdPt2IN, computed with PBE.

- E_form (uncorrected): 0.13 eV/f.u.
- Density of states at the Fermi level: 3.491 states/eV per cell
- Energy: -4.413 eV per atom
- Energy above the most stable polymorph in this dataset: 98.5 meV/atom

Cell lengths 9.5338, 5.3988, 6.7427 Å; angles 90.00, 121.60, 90.00 degrees
With the nearest neighbours (Å) after each atom.
Space group Cm (No. 8)
Unique sites:
Al (0.0000, 0.0000, 0.0000) x2  1 N 1.87
Cd (0.0670, 0.0000, 0.5532) x2  1 N 2.32
Pt (0.3497, 0.2603, 0.1328) x4  1 N 2.02
I (0.2442, 0.5000, 0.5541) x2  1 Al 2.70
N (0.1766, 0.0000, 0.9519) x2  1 Al 1.87, 2 Pt 2.02



No. 9
A relaxed structure of TbPuCuHg, computed with PBE.

- Density of states at the Fermi level: 42.087 states/eV per cell
- Energy: -5.935 eV per atom
- DFT formation energy: -9.2 kJ/mol of atoms

Cell lengths 7.2893, 7.2893, 7.2893 Å; angles 90.00, 90.00, 90.00 degrees
With the nearest neighbours (Å) after each atom.
Space group F-43m (No. 216)
Unique sites:
Tb (0.0000, 0.0000, 0.0000) x4  4 Cu 3.16, 4 Hg 3.16
Pu (0.0000, 0.0000, 0.5000) x4  4 Hg 3.16, 4 Cu 3.16
Cu (0.2500, 0.2500, 0.2500) x4  4 Pu 3.16, 4 Tb 3.16
Hg (0.2500, 0.2500, 0.7500) x4  4 Tb 3.16, 4 Pu 3.16



No. 10
A relaxed structure of Ca2OsRu, computed with PBE.

- Density of states at the Fermi level: 10.349 states/eV per cell
- Energy: -5.438 eV per atom
- DFT formation energy: 66.5 kJ/mol of atoms
- Energy above the most stable polymorph in this dataset: 452.4 meV/atom

Cell lengths 3.0680, 3.0680, 28.0042 Å; angles 90.00, 90.00, 120.00 degrees
With the nearest neighbours (Å) after each atom.
Space group R-3m (No. 166, hexagonal axes)
Unique sites:
Ca (0.0000, 0.0000, 0.2486) x6  3 Ru 2.90, 3 Os 2.96, 6 Ca 3.07
Os (0.0000, 0.0000, 0.0000) x3  6 Ca 2.96, 6 Os 3.07
Ru (0.0000, 0.0000, 0.5000) x3  6 Ca 2.90, 6 Ru 3.07



No. 11
A relaxed structure of Zr2ZnHg2, computed with PBE.

- Density of states at the Fermi level: 3.691 states/eV per cell
- Energy: -3.808 eV per atom
- DFT formation energy: -1.3 kJ/mol of atoms
- Energy above the most stable polymorph in this dataset: 22.3 meV/atom

Cell lengths 3.2038, 5.0345, 7.1123 Å; angles 69.31, 89.39, 89.82 degrees
With the nearest neighbours (Å) after each atom.
Space group P-1 (No. 2)
Unique sites:
Zr (0.0093, 0.1798, 0.1405) x2  2 Zn 2.88, 6 Hg 3.08-3.17, 4 Zr 3.14-3.20
Zn (0.5000, 0.0000, 0.5000) x1  4 Zr 2.88, 4 Hg 2.96, 2 Zn 3.20
Hg (0.4990, 0.6174, 0.2650) x2  2 Zn 2.96, 6 Zr 3.08-3.17, 3 Hg 3.13-3.20



No. 12
A relaxed structure of SrEuBr, computed with PBE.

- E_form (uncorrected): -2.85 eV/f.u.
- Density of states at the Fermi level: 8.365 states/eV per cell
- Energy: -5.493 eV per atom

Cell lengths 4.1440, 4.1440, 7.8202 Å; angles 90.00, 90.00, 120.00 degrees
With the nearest neighbours (Å) after each atom.
Space group P3m1 (No. 156)
Unique sites:
Sr (0.0000, 0.0000, 0.0000) x1  3 Br 3.34
Eu (0.3333, 0.6667, 0.5825) x1  3 Br 3.27
Br (0.6667, 0.3333, 0.2983) x1  3 Eu 3.27, 3 Sr 3.34



No. 13
A relaxed structure of CaPm2NbO6, computed with PBE.

- E_form (uncorrected): -28.55 eV/f.u.
- Density of states at the Fermi level: 2.476 states/eV per cell
- Energy: -7.988 eV per atom

Cell lengths 5.4439, 5.4439, 5.3724 Å; angles 90.00, 90.00, 90.00 degrees
With the nearest neighbours (Å) after each atom.
Space group P4mm (No. 99)
Unique sites:
Ca (0.0000, 0.0000, 0.0000) x1  5 O 2.21-2.26
Pm (0.0000, 0.5000, 0.4300) x2  4 O 2.33
Nb (0.5000, 0.5000, 0.0199) x1  5 O 1.91-2.03
O (0.0000, 0.0000, 0.5879) x1  1 Ca 2.21
O (0.2636, 0.2636, 0.1860) x4  1 Nb 2.03, 1 Ca 2.26
O (0.5000, 0.5000, 0.6647) x1  1 Nb 1.91



No. 14
A relaxed structure of Fe, computed with PBE.

- Density of states at the Fermi level: 26.736 states/eV per cell
- Energy: -8.310 eV per atom
- DFT formation energy: 14.8 kJ/mol of atoms
- Energy above the most stable polymorph in this dataset: 153.0 meV/atom

Cell lengths 6.5798, 6.5798, 6.5798 Å; angles 90.00, 90.00, 90.00 degrees
With the nearest neighbours (Å) after each atom.
Space group Fd-3m (No. 227, origin choice 2)
Unique sites:
Fe (0.0000, 0.0000, 0.0000) x16  6 Fe 2.33
Fe (0.1250, 0.1250, 0.6250) x8  16 Fe 2.73-2.85



No. 15
A relaxed structure of Ti2AgIr, computed with PBE.

- Density of states at the Fermi level: 4.402 states/eV per cell
- Energy: -7.265 eV per atom
- DFT formation energy: -37.6 kJ/mol of atoms

Cell lengths 2.9140, 2.9140, 7.6590 Å; angles 90.00, 90.00, 90.00 degrees
With the nearest neighbours (Å) after each atom.
Space group P4/mmm (No. 123)
Unique sites:
Ti (0.0000, 0.0000, 0.2261) x2  4 Ir 2.69, 4 Ti 2.91, 4 Ag 2.94
Ag (0.5000, 0.5000, 0.5000) x1  4 Ag 2.91, 8 Ti 2.94
Ir (0.5000, 0.5000, 0.0000) x1  8 Ti 2.69, 4 Ir 2.91



No. 16
A relaxed structure of LiZrNF2, computed with PBE.

- E_form (uncorrected): -10.14 eV/f.u.
- Density of states at the Fermi level: 0.216 states/eV per cell
- Energy: -6.533 eV per atom
- Energy above the most stable polymorph in this dataset: 0.0 meV/atom

Cell lengths 4.2613, 4.2613, 4.1968 Å; angles 90.00, 90.00, 90.00 degrees
With the nearest neighbours (Å) after each atom.
Space group P4/mmm (No. 123)
Unique sites:
Li (0.0000, 0.0000, 0.0000) x1  8 F 2.99, 4 N 3.01
Zr (0.5000, 0.5000, 0.5000) x1  2 N 2.10, 4 F 2.13
N (0.5000, 0.5000, 0.0000) x1  2 Zr 2.10
F (0.0000, 0.5000, 0.5000) x2  2 Zr 2.13



No. 17
A relaxed structure of Be2SO, computed with PBE.

- E_form (uncorrected): -0.19 eV/f.u.
- Density of states at the Fermi level: 3.788 states/eV per cell
- Energy: -4.181 eV per atom
- Energy above the most stable polymorph in this dataset: 1656.0 meV/atom

Cell lengths 5.4024, 5.4024, 5.4024 Å; angles 90.00, 90.00, 90.00 degrees
With the nearest neighbours (Å) after each atom.
Space group Fm-3m (No. 225)
Unique sites:
Be (0.2500, 0.2500, 0.2500) x8  4 O 2.34, 4 S 2.34
S (0.0000, 0.0000, 0.0000) x4  8 Be 2.34
O (0.0000, 0.0000, 0.5000) x4  8 Be 2.34



No. 18
A relaxed structure of CsU2S3, computed with PBE.

- E_form (uncorrected): -6.84 eV/f.u.
- Density of states at the Fermi level: 11.686 states/eV per cell
- Energy: -7.108 eV per atom

Cell lengths 3.6319, 11.5848, 7.4833 Å; angles 90.00, 90.00, 90.00 degrees
With the nearest neighbours (Å) after each atom.
Space group Pmc2_1 (No. 26)
Unique sites:
Cs (0.0000, 0.1181, 0.0000) x2  7 S 3.50-3.64, 2 Cs 3.63
U (0.0000, 0.3062, 0.5167) x2  2 U 2.57, 5 S 2.69-2.83
U (0.5000, 0.4630, 0.5400) x2  2 U 2.57, 4 S 2.78-2.79
S (0.0000, 0.4099, 0.8393) x2  5 U 2.70-2.95
S (0.5000, 0.1400, 0.5800) x2  2 U 2.69
S (0.5000, 0.3301, 0.2294) x2  4 U 2.79-2.83



No. 19
A relaxed structure of Na3Pd5Cl12, computed with PBE.

- E_form (uncorrected): -13.98 eV/f.u.
- Density of states at the Fermi level: 109.996 states/eV per cell
- Energy: -3.303 eV per atom

Cell lengths 15.8567, 15.8567, 15.8567 Å; angles 90.00, 90.00, 90.00 degrees
With the nearest neighbours (Å) after each atom.
Space group Ia-3d (No. 230)
Unique sites:
Na (0.0000, 0.2500, 0.1250) x24  4 Cl 2.92
Pd (0.0000, 0.0000, 0.0000) x16  6 Cl 2.46
Pd (0.0000, 0.2500, 0.3750) x24  4 Cl 2.40
Cl (0.0218, 0.0428, 0.6475) x96  2 Pd 2.40-2.46



No. 20
A relaxed structure of ZnPBr2, computed with PBE.

- E_form (uncorrected): 1.38 eV/f.u.
- Density of states at the Fermi level: 3.522 states/eV per cell
- Energy: -2.163 eV per atom
- Energy above the most stable polymorph in this dataset: 611.6 meV/atom

Cell lengths 3.5984, 7.4325, 10.0238 Å; angles 90.00, 90.00, 90.00 degrees
With the nearest neighbours (Å) after each atom.
Space group Cmmm (No. 65)
Unique sites:
Zn (0.0000, 0.0000, 0.0000) x2  2 Zn 3.60, 4 Br 3.68
P (0.0000, 0.0000, 0.5000) x2  4 Br 2.55
Br (0.0000, 0.5000, 0.3198) x4  2 P 2.55



No. 21
A relaxed structure of KYCd2, computed with PBE.

- Density of states at the Fermi level: 10.057 states/eV per cell
- Energy: -2.084 eV per atom
- DFT formation energy: 25.5 kJ/mol of atoms
- Energy above the most stable polymorph in this dataset: 381.0 meV/atom

Cell lengths 8.7105, 8.7105, 7.2258 Å; angles 90.00, 90.00, 90.00 degrees
With the nearest neighbours (Å) after each atom.
Space group I-42d (No. 122)
Unique sites:
K (0.0000, 0.0000, 0.0000) x4  4 Cd 3.35, 2 Y 3.61
Y (0.0000, 0.0000, 0.5000) x4  4 Cd 3.08
Cd (0.2270, 0.7500, 0.6250) x8  2 Y 3.08, 2 K 3.35